(1)
# ZnTcSeN2 (PBE, relaxed)
# Spin magnetization ... 1.55 Bohr magnetons per cell
# Total DFT energy (no corrections) ... -4.521 eV/atom
# Energy above the lowest structure with this stoichiometry ... 1384 meV/atom
# Formation energy (no corrections) ... 1.83 eV/atom
data_ZnTcSeN2
_chemical_formula_sum 'Zn1 Tc1 Se1 N2'
_cell_length_a 3.776
_cell_length_b 3.776
_cell_length_c 5.108
_cell_angle_alpha 90.00
_cell_angle_beta 90.00
_cell_angle_gamma 90.00
_symmetry_space_group_name_H-M 'P 1'
_symmetry_Int_Tables_number 1
_symmetry_space_group_name_Hall 'P 1'
loop_
_atom_site_label
_atom_site_fract_x
_atom_site_fract_y
_atom_site_fract_z
Zn1 0.000 0.000 0.000
Tc1 0.500 0.500 0.500
Se1 0.000 0.000 0.500
N1 0.000 0.500 0.000
N2 0.500 0.000 0.000

(2)
# ZrTcSeN2 (PBE, relaxed)
# Spin magnetization ... 3.95 Bohr magnetons per cell
# Total DFT energy (no corrections) ... -7.032 eV/atom
# Energy above the lowest structure with this stoichiometry ... 546 meV/atom
# Formation energy (no corrections) ... 0.78 eV/atom
data_ZrTcSeN2
_chemical_formula_sum 'Zr1 Tc1 Se1 N2'
_cell_length_a 4.102
_cell_length_b 4.102
_cell_length_c 5.630
_cell_angle_alpha 90.00
_cell_angle_beta 90.00
_cell_angle_gamma 90.00
_symmetry_space_group_name_H-M 'P 1'
_symmetry_Int_Tables_number 1
_symmetry_space_group_name_Hall 'P 1'
loop_
_atom_site_label
_atom_site_fract_x
_atom_site_fract_y
_atom_site_fract_z
Se1 0.000 0.000 0.500
Tc1 0.500 0.500 0.500
Zr1 0.000 0.000 0.000
N1 0.000 0.500 0.000
N2 0.500 0.000 0.000

(3)
# ZrTcSeN2 (PBE, relaxed)
# Spin magnetization ... 0.00 Bohr magnetons per cell
# Total DFT energy (no corrections) ... -7.578 eV/atom
# Energy above the lowest structure with this stoichiometry ... 0 meV/atom
# Formation energy (no corrections) ... 0.23 eV/atom
data_ZrTcSeN2
_chemical_formula_sum 'Zr1 Tc1 Se1 N2'
_cell_length_a 3.889
_cell_length_b 3.889
_cell_length_c 5.076
_cell_angle_alpha 90.00
_cell_angle_beta 90.00
_cell_angle_gamma 90.00
_symmetry_space_group_name_H-M 'P 1'
_symmetry_Int_Tables_number 1
_symmetry_space_group_name_Hall 'P 1'
loop_
_atom_site_label
_atom_site_fract_x
_atom_site_fract_y
_atom_site_fract_z
Se1 0.000 0.000 0.500
Tc1 0.000 0.000 0.000
Zr1 0.500 0.500 0.500
N1 0.000 0.500 0.000
N2 0.500 0.000 0.000

(4)
# Te2SeN (PBE, relaxed)
# Spin magnetization ... 0.00 Bohr magnetons per cell
# Total DFT energy (no corrections) ... -3.200 eV/atom
# Energy above the lowest structure with this stoichiometry ... 610 meV/atom
# Formation energy (no corrections) ... 1.32 eV/atom
data_Te2SeN
_chemical_formula_sum 'Te2 Se1 N1'
_cell_length_a 4.824
_cell_length_b 4.824
_cell_length_c 4.824
_cell_angle_alpha 60.00
_cell_angle_beta 60.00
_cell_angle_gamma 60.00
_symmetry_space_group_name_H-M 'P 1'
_symmetry_Int_Tables_number 1
_symmetry_space_group_name_Hall 'P 1'
loop_
_atom_site_label
_atom_site_fract_x
_atom_site_fract_y
_atom_site_fract_z
Te1 0.250 0.250 0.250
Te2 0.750 0.750 0.750
Se1 0.500 0.500 0.500
N1 0.000 0.000 0.000

(5)
# TeSe2N (PBE, relaxed)
# Spin magnetization ... 0.00 Bohr magnetons per cell
# Total DFT energy (no corrections) ... -3.928 eV/atom
# Energy above the lowest structure with this stoichiometry ... 49 meV/atom
# Formation energy (no corrections) ... 0.68 eV/atom
data_TeSe2N
_chemical_formula_sum 'Te1 Se2 N1'
_cell_length_a 7.989
_cell_length_b 7.989
_cell_length_c 7.989
_cell_angle_alpha 29.11
_cell_angle_beta 29.11
_cell_angle_gamma 29.11
_symmetry_space_group_name_H-M 'P 1'
_symmetry_Int_Tables_number 1
_symmetry_space_group_name_Hall 'P 1'
loop_
_atom_site_label
_atom_site_fract_x
_atom_site_fract_y
_atom_site_fract_z
Te1 0.500 0.500 0.500
Se1 0.076 0.076 0.076
Se2 0.924 0.924 0.924
N1 0.000 0.000 0.000

(6)
# TeSe2N (PBE, relaxed)
# Spin magnetization ... 0.00 Bohr magnetons per cell
# Total DFT energy (no corrections) ... -3.977 eV/atom
# Energy above the lowest structure with this stoichiometry ... 0 meV/atom
# Formation energy (no corrections) ... 0.63 eV/atom
data_TeSe2N
_chemical_formula_sum 'Te2 Se4 N2'
_cell_length_a 3.394
_cell_length_b 17.759
_cell_length_c 3.252
_cell_angle_alpha 68.52
_cell_angle_beta 89.99
_cell_angle_gamma 95.40
_symmetry_space_group_name_H-M 'P 1'
_symmetry_Int_Tables_number 1
_symmetry_space_group_name_Hall 'P 1'
loop_
_atom_site_label
_atom_site_fract_x
_atom_site_fract_y
_atom_site_fract_z
Te1 0.378 0.759 0.482
Te2 0.622 0.241 0.518
Se1 0.776 0.554 0.393
Se2 0.224 0.446 0.607
Se3 0.966 0.933 0.635
Se4 0.034 0.067 0.365
N1 0.341 0.682 0.135
N2 0.659 0.318 0.865

(7)
# TeSe2N2 (PBE, relaxed)
# Spin magnetization ... 0.00 Bohr magnetons per cell
# Total DFT energy (no corrections) ... -3.994 eV/atom
# Energy above the lowest structure with this stoichiometry ... 1363 meV/atom
# Formation energy (no corrections) ... 1.36 eV/atom
data_TeSe2N2
_chemical_formula_sum 'Te1 Se2 N2'
_cell_length_a 3.903
_cell_length_b 3.903
_cell_length_c 6.648
_cell_angle_alpha 90.00
_cell_angle_beta 90.00
_cell_angle_gamma 90.00
_symmetry_space_group_name_H-M 'P 1'
_symmetry_Int_Tables_number 1
_symmetry_space_group_name_Hall 'P 1'
loop_
_atom_site_label
_atom_site_fract_x
_atom_site_fract_y
_atom_site_fract_z
Te1 0.000 0.000 0.000
Se1 0.500 0.500 0.500
Se2 0.000 0.000 0.500
N1 0.000 0.500 0.000
N2 0.500 0.000 0.000

(8)
# TeSe2N2 (PBE, relaxed)
# Spin magnetization ... 0.75 Bohr magnetons per cell
# Total DFT energy (no corrections) ... -3.718 eV/atom
# Energy above the lowest structure with this stoichiometry ... 1640 meV/atom
# Formation energy (no corrections) ... 1.63 eV/atom
data_TeSe2N2
_chemical_formula_sum 'Te1 Se2 N2'
_cell_length_a 4.355
_cell_length_b 4.355
_cell_length_c 4.152
_cell_angle_alpha 90.00
_cell_angle_beta 90.00
_cell_angle_gamma 90.00
_symmetry_space_group_name_H-M 'P 1'
_symmetry_Int_Tables_number 1
_symmetry_space_group_name_Hall 'P 1'
loop_
_atom_site_label
_atom_site_fract_x
_atom_site_fract_y
_atom_site_fract_z
Te1 0.500 0.500 0.500
Se1 0.000 0.500 0.000
Se2 0.500 0.000 0.000
N1 0.000 0.000 0.000
N2 0.000 0.000 0.500

(9)
# Te2SeN (PBE, relaxed)
# Spin magnetization ... 0.00 Bohr magnetons per cell
# Total DFT energy (no corrections) ... -3.810 eV/atom
# Energy above the lowest structure with this stoichiometry ... 0 meV/atom
# Formation energy (no corrections) ... 0.71 eV/atom
data_Te2SeN
_chemical_formula_sum 'Te2 Se1 N1'
_cell_length_a 8.289
_cell_length_b 8.289
_cell_length_c 8.289
_cell_angle_alpha 28.08
_cell_angle_beta 28.08
_cell_angle_gamma 28.08
_symmetry_space_group_name_H-M 'P 1'
_symmetry_Int_Tables_number 1
_symmetry_space_group_name_Hall 'P 1'
loop_
_atom_site_label
_atom_site_fract_x
_atom_site_fract_y
_atom_site_fract_z
Te1 0.081 0.081 0.081
Te2 0.919 0.919 0.919
Se1 0.500 0.500 0.500
N1 0.000 0.000 0.000

(10)
# TeSe2N2 (PBE, relaxed)
# Spin magnetization ... 0.00 Bohr magnetons per cell
# Total DFT energy (no corrections) ... -5.357 eV/atom
# Energy above the lowest structure with this stoichiometry ... 0 meV/atom
# Formation energy (no corrections) ... -0.01 eV/atom
data_TeSe2N2
_chemical_formula_sum 'Te1 Se2 N2'
_cell_length_a 3.979
_cell_length_b 3.979
_cell_length_c 12.660
_cell_angle_alpha 105.94
_cell_angle_beta 90.00
_cell_angle_gamma 120.00
_symmetry_space_group_name_H-M 'P 1'
_symmetry_Int_Tables_number 1
_symmetry_space_group_name_Hall 'P 1'
loop_
_atom_site_label
_atom_site_fract_x
_atom_site_fract_y
_atom_site_fract_z
Te1 0.000 0.000 0.000
Se1 0.747 0.494 0.138
Se2 0.253 0.506 0.862
N1 0.923 0.846 0.468
N2 0.077 0.154 0.532

(11)
# TeSe2N (PBE, relaxed)
# Spin magnetization ... 0.00 Bohr magnetons per cell
# Total DFT energy (no corrections) ... -3.521 eV/atom
# Energy above the lowest structure with this stoichiometry ... 456 meV/atom
# Formation energy (no corrections) ... 1.09 eV/atom
data_TeSe2N
_chemical_formula_sum 'Te1 Se2 N1'
_cell_length_a 8.460
_cell_length_b 8.460
_cell_length_c 8.460
_cell_angle_alpha 23.53
_cell_angle_beta 23.53
_cell_angle_gamma 23.53
_symmetry_space_group_name_H-M 'P 1'
_symmetry_Int_Tables_number 1
_symmetry_space_group_name_Hall 'P 1'
loop_
_atom_site_label
_atom_site_fract_x
_atom_site_fract_y
_atom_site_fract_z
Te1 0.000 0.000 0.000
Se1 0.887 0.887 0.887
Se2 0.113 0.113 0.113
N1 0.500 0.500 0.500

(12)
# TeSe2N (PBE, relaxed)
# Spin magnetization ... 0.00 Bohr magnetons per cell
# Total DFT energy (no corrections) ... -3.725 eV/atom
# Energy above the lowest structure with this stoichiometry ... 252 meV/atom
# Formation energy (no corrections) ... 0.88 eV/atom
data_TeSe2N
_chemical_formula_sum 'Te2 Se4 N2'
_cell_length_a 6.523
_cell_length_b 6.523
_cell_length_c 6.178
_cell_angle_alpha 58.14
_cell_angle_beta 58.14
_cell_angle_gamma 90.00
_symmetry_space_group_name_H-M 'P 1'
_symmetry_Int_Tables_number 1
_symmetry_space_group_name_Hall 'P 1'
loop_
_atom_site_label
_atom_site_fract_x
_atom_site_fract_y
_atom_site_fract_z
Te1 0.000 0.000 0.000
Te2 0.750 0.250 0.500
Se1 0.530 0.125 0.250
Se2 0.220 0.625 0.250
Se3 0.375 0.470 0.750
Se4 0.875 0.780 0.750
N1 0.500 0.500 0.000
N2 0.250 0.750 0.500

(13)
# TeSeN (PBE, relaxed)
# Spin magnetization ... 0.00 Bohr magnetons per cell
# Total DFT energy (no corrections) ... -4.273 eV/atom
# Formation energy (no corrections) ... 0.71 eV/atom
data_TeSeN
_chemical_formula_sum 'Te2 Se2 N2'
_cell_length_a 4.119
_cell_length_b 8.192
_cell_length_c 6.989
_cell_angle_alpha 110.54
_cell_angle_beta 114.07
_cell_angle_gamma 109.25
_symmetry_space_group_name_H-M 'P 1'
_symmetry_Int_Tables_number 1
_symmetry_space_group_name_Hall 'P 1'
loop_
_atom_site_label
_atom_site_fract_x
_atom_site_fract_y
_atom_site_fract_z
Te1 0.058 0.035 0.609
Te2 0.489 0.127 0.349
Se1 0.672 0.761 0.765
Se2 0.023 0.350 0.240
N1 0.539 0.508 0.559
N2 0.169 0.844 0.027

(14)
# TeSe2N2 (PBE, relaxed)
# Spin magnetization ... 0.64 Bohr magnetons per cell
# Total DFT energy (no corrections) ... -3.305 eV/atom
# Energy above the lowest structure with this stoichiometry ... 2052 meV/atom
# Formation energy (no corrections) ... 2.05 eV/atom
data_TeSe2N2
_chemical_formula_sum 'Te1 Se2 N2'
_cell_length_a 5.518
_cell_length_b 5.518
_cell_length_c 4.018
_cell_angle_alpha 90.00
_cell_angle_beta 90.00
_cell_angle_gamma 90.00
_symmetry_space_group_name_H-M 'P 1'
_symmetry_Int_Tables_number 1
_symmetry_space_group_name_Hall 'P 1'
loop_
_atom_site_label
_atom_site_fract_x
_atom_site_fract_y
_atom_site_fract_z
Te1 0.000 0.000 0.000
Se1 0.000 0.500 0.000
Se2 0.500 0.000 0.000
N1 0.500 0.500 0.500
N2 0.000 0.000 0.500

(15)
# TeSe2N2 (PBE, relaxed)
# Spin magnetization ... 0.00 Bohr magnetons per cell
# Total DFT energy (no corrections) ... -3.863 eV/atom
# Energy above the lowest structure with this stoichiometry ... 1495 meV/atom
# Formation energy (no corrections) ... 1.49 eV/atom
data_TeSe2N2
_chemical_formula_sum 'Te1 Se2 N2'
_cell_length_a 3.853
_cell_length_b 3.853
_cell_length_c 7.472
_cell_angle_alpha 90.00
_cell_angle_beta 90.00
_cell_angle_gamma 90.00
_symmetry_space_group_name_H-M 'P 1'
_symmetry_Int_Tables_number 1
_symmetry_space_group_name_Hall 'P 1'
loop_
_atom_site_label
_atom_site_fract_x
_atom_site_fract_y
_atom_site_fract_z
Te1 0.500 0.500 0.500
Se1 0.000 0.000 0.000
Se2 0.000 0.000 0.500
N1 0.000 0.500 0.000
N2 0.500 0.000 0.000

(16)
# Te2SeN (PBE, relaxed)
# Spin magnetization ... 0.00 Bohr magnetons per cell
# Total DFT energy (no corrections) ... -3.586 eV/atom
# Energy above the lowest structure with this stoichiometry ... 224 meV/atom
# Formation energy (no corrections) ... 0.94 eV/atom
data_Te2SeN
_chemical_formula_sum 'Te2 Se1 N1'
_cell_length_a 9.476
_cell_length_b 9.476
_cell_length_c 9.476
_cell_angle_alpha 19.70
_cell_angle_beta 19.70
_cell_angle_gamma 19.70
_symmetry_space_group_name_H-M 'P 1'
_symmetry_Int_Tables_number 1
_symmetry_space_group_name_Hall 'P 1'
loop_
_atom_site_label
_atom_site_fract_x
_atom_site_fract_y
_atom_site_fract_z
Te1 0.893 0.893 0.893
Te2 0.107 0.107 0.107
Se1 0.000 0.000 0.000
N1 0.500 0.500 0.500

(17)
# Te2SeN (PBE, relaxed)
# Spin magnetization ... 0.00 Bohr magnetons per cell
# Total DFT energy (no corrections) ... -3.798 eV/atom
# Energy above the lowest structure with this stoichiometry ... 12 meV/atom
# Formation energy (no corrections) ... 0.73 eV/atom
data_Te2SeN
_chemical_formula_sum 'Te4 Se2 N2'
_cell_length_a 6.837
_cell_length_b 6.837
_cell_length_c 6.249
_cell_angle_alpha 56.84
_cell_angle_beta 56.84
_cell_angle_gamma 90.00
_symmetry_space_group_name_H-M 'P 1'
_symmetry_Int_Tables_number 1
_symmetry_space_group_name_Hall 'P 1'
loop_
_atom_site_label
_atom_site_fract_x
_atom_site_fract_y
_atom_site_fract_z
Te1 0.552 0.125 0.250
Te2 0.198 0.625 0.250
Te3 0.375 0.448 0.750
Te4 0.875 0.802 0.750
Se1 0.000 0.000 0.000
Se2 0.750 0.250 0.500
N1 0.500 0.500 0.000
N2 0.250 0.750 0.500

(18)
# Te2Se3N2 (PBE, relaxed)
# Spin magnetization ... 0.00 Bohr magnetons per cell
# Total DFT energy (no corrections) ... -4.178 eV/atom
# Formation energy (no corrections) ... 0.59 eV/atom
data_Te2Se3N2
_chemical_formula_sum 'Te2 Se3 N2'
_cell_length_a 3.207
_cell_length_b 15.019
_cell_length_c 7.041
_cell_angle_alpha 43.47
_cell_angle_beta 90.18
_cell_angle_gamma 115.39
_symmetry_space_group_name_H-M 'P 1'
_symmetry_Int_Tables_number 1
_symmetry_space_group_name_Hall 'P 1'
loop_
_atom_site_label
_atom_site_fract_x
_atom_site_fract_y
_atom_site_fract_z
Te1 0.604 0.802 0.790
Te2 0.389 0.195 0.209
Se1 0.015 0.006 0.948
Se2 0.746 0.372 0.303
Se3 0.242 0.621 0.731
N1 0.000 0.000 0.701
N2 0.005 0.003 0.318

(19)
# TeSe2N (PBE, relaxed)
# Spin magnetization ... 1.91 Bohr magnetons per cell
# Total DFT energy (no corrections) ... -3.177 eV/atom
# Energy above the lowest structure with this stoichiometry ... 800 meV/atom
# Formation energy (no corrections) ... 1.43 eV/atom
data_TeSe2N
_chemical_formula_sum 'Te1 Se2 N1'
_cell_length_a 4.799
_cell_length_b 4.799
_cell_length_c 4.799
_cell_angle_alpha 60.00
_cell_angle_beta 60.00
_cell_angle_gamma 60.00
_symmetry_space_group_name_H-M 'P 1'
_symmetry_Int_Tables_number 1
_symmetry_space_group_name_Hall 'P 1'
loop_
_atom_site_label
_atom_site_fract_x
_atom_site_fract_y
_atom_site_fract_z
Te1 0.500 0.500 0.500
Se1 0.250 0.250 0.250
Se2 0.750 0.750 0.750
N1 0.000 0.000 0.000

(20)
# ThTeSe2N (PBE, relaxed)
# Spin magnetization ... 0.00 Bohr magnetons per cell
# Total DFT energy (no corrections) ... -6.160 eV/atom
# Formation energy (no corrections) ... -0.99 eV/atom
data_ThTeSe2N
_chemical_formula_sum 'Th2 Te2 Se4 N2'
_cell_length_a 4.140
_cell_length_b 4.140
_cell_length_c 14.024
_cell_angle_alpha 90.00
_cell_angle_beta 90.00
_cell_angle_gamma 90.00
_symmetry_space_group_name_H-M 'P 1'
_symmetry_Int_Tables_number 1
_symmetry_space_group_name_Hall 'P 1'
loop_
_atom_site_label
_atom_site_fract_x
_atom_site_fract_y
_atom_site_fract_z
Th1 0.500 0.000 0.582
Th2 0.000 0.500 0.418
Te1 0.500 0.000 0.120
Te2 0.000 0.500 0.880
Se1 0.000 0.500 0.694
Se2 0.000 0.500 0.109
Se3 0.500 0.000 0.891
Se4 0.500 0.000 0.306
N1 0.000 0.000 0.500
N2 0.500 0.500 0.500